# 1
Density functional theory data (PBE) for a geometry-optimized LiLaPd2 structure.

abc: 5.5831 5.5831 5.5831
angles: 45.92 45.92 45.92
Last column: nearest neighbours and their distance in Å.
Element x y z (fractional)
Li (0.0000, 0.0000, 0.0000)  6 Pd 2.61
La (0.5000, 0.5000, 0.5000)  8 Pd 3.08-3.21
Pd (0.2855, 0.2855, 0.2855)  3 Li 2.61, 3 Pd 2.89
Pd (0.7145, 0.7145, 0.7145)  3 Li 2.61, 3 Pd 2.89

Total magnetization   0.00 μB per formula unit
VASP energy   -4.95 eV per atom
Formation energy   -63 kJ per mole of atoms
SG   R-3m


# 2
Density functional theory data (PBE) for a geometry-optimized AlCdRu3 structure.

abc: 4.4765 4.4765 4.4765
angles: 90.00 90.00 90.00
Last column: nearest neighbours and their distance in Å.
Element x y z (fractional)
Al (0.0000, 0.0000, 0.0000)  6 Ru 2.24
Cd (0.5000, 0.5000, 0.5000)  12 Ru 3.17
Ru (0.0000, 0.0000, 0.5000)  2 Al 2.24
Ru (0.0000, 0.5000, 0.0000)  2 Al 2.24
Ru (0.5000, 0.0000, 0.0000)  2 Al 2.24

Total magnetization   2.02 μB per formula unit
Offset from the most stable computed form   0.000 eV per atom
VASP energy   -5.53 eV per atom
Formation energy   93 kJ per mole of atoms
SG   Pm-3m


# 3
Density functional theory data (PBE) for a geometry-optimized LiScV2 structure.

abc: 10.1786 10.1786 10.1786
angles: 159.64 159.64 28.95
Last column: nearest neighbours and their distance in Å.
Element x y z (fractional)
Li (0.0000, 0.0000, 0.0000)  4 Sc 2.54, 4 V 2.77
Li (0.7500, 0.2500, 0.5000)  4 Sc 2.54, 4 V 2.77
Sc (0.2500, 0.7500, 0.5000)  4 Li 2.54, 4 V 2.78
Sc (0.5000, 0.5000, 0.0000)  4 Li 2.54, 4 V 2.78
V (0.1222, 0.1250, 0.4972)  4 V 2.53-2.56, 2 Li 2.77, 2 Sc 2.78
V (0.3750, 0.8778, 0.0028)  4 V 2.53-2.56, 2 Li 2.77, 2 Sc 2.78
V (0.6278, 0.6250, 0.5028)  4 V 2.53-2.56, 2 Li 2.77, 2 Sc 2.78
V (0.8750, 0.3722, 0.9972)  4 V 2.53-2.56, 2 Li 2.77, 2 Sc 2.78

Total magnetization   0.00 μB per formula unit
Offset from the most stable computed form   0.000 eV per atom
VASP energy   -6.00 eV per atom
Formation energy   59 kJ per mole of atoms
SG   I-42d


# 4
Density functional theory data (PBE) for a geometry-optimized LiFeSb2 structure.

abc: 8.2413 8.2413 8.2413
angles: 24.12 24.12 24.12
Last column: nearest neighbours and their distance in Å.
Element x y z (fractional)
Li (0.0000, 0.0000, 0.0000)  6 Sb 3.03
Fe (0.5000, 0.5000, 0.5000)  6 Sb 2.63
Sb (0.2382, 0.2382, 0.2382)  3 Fe 2.63
Sb (0.7618, 0.7618, 0.7618)  3 Fe 2.63

Formation energy without anion corrections   -0.095 eV per atom
Total magnetization   1.75 μB per formula unit
Offset from the most stable computed form   0.000 eV per atom
VASP energy   -4.75 eV per atom
SG   R-3m


# 5
Density functional theory data (PBE) for a geometry-optimized BiW2I structure.

abc: 9.6246 9.6246 9.6246
angles: 152.19 152.19 39.73
Last column: nearest neighbours and their distance in Å.
Element x y z (fractional)
Bi (0.0000, 0.0000, 0.0000)  4 W 2.96, 4 I 3.27
Bi (0.7500, 0.2500, 0.5000)  4 W 2.96, 4 I 3.27
W (0.2046, 0.6250, 0.0796)  2 I 2.66, 2 W 2.80, 2 Bi 2.96
W (0.3750, 0.4546, 0.5796)  2 I 2.66, 2 W 2.80, 2 Bi 2.96
W (0.5454, 0.1250, 0.9204)  2 I 2.66, 2 W 2.80, 2 Bi 2.96
W (0.8750, 0.7954, 0.4204)  2 I 2.66, 2 W 2.80, 2 Bi 2.96
I (0.2500, 0.7500, 0.5000)  4 W 2.66
I (0.5000, 0.5000, 0.0000)  4 W 2.66

Formation energy without anion corrections   1.544 eV per atom
Total magnetization   0.00 μB per formula unit
Offset from the most stable computed form   0.118 eV per atom
VASP energy   -6.29 eV per atom
SG   I-42d


# 6
Density functional theory data (PBE) for a geometry-optimized AlAs2Ir structure.

abc: 4.5476 4.5476 4.5476
angles: 60.00 60.00 60.00
Last column: nearest neighbours and their distance in Å.
Element x y z (fractional)
Al (0.0000, 0.0000, 0.0000)  4 As 2.78, 4 Ir 2.78
As (0.5000, 0.5000, 0.5000)  4 As 2.78, 4 Ir 2.78
As (0.7500, 0.7500, 0.7500)  4 As 2.78, 4 Al 2.78
Ir (0.2500, 0.2500, 0.2500)  4 As 2.78, 4 Al 2.78

Total magnetization   0.00 μB per formula unit
VASP energy   -5.28 eV per atom
Formation energy   19 kJ per mole of atoms
SG   F-43m


# 7
Density functional theory data (PBE) for a geometry-optimized NpPbAu2 structure.

abc: 4.8580 4.8580 4.0328
angles: 90.00 90.00 90.00
Last column: nearest neighbours and their distance in Å.
Element x y z (fractional)
Np (0.0000, 0.0000, 0.0000)  8 Au 3.16, 4 Pb 3.44
Pb (0.5000, 0.5000, 0.0000)  8 Au 3.16, 4 Np 3.44
Au (0.0000, 0.5000, 0.5000)  4 Pb 3.16, 4 Np 3.16, 4 Au 3.44
Au (0.5000, 0.0000, 0.5000)  4 Pb 3.16, 4 Np 3.16, 4 Au 3.44

Total magnetization   4.43 μB per formula unit
VASP energy   -5.81 eV per atom
Formation energy   -1 kJ per mole of atoms
SG   P4/mmm


# 8
Density functional theory data (PBE) for a geometry-optimized Sr2TaSiO6 structure.

abc: 5.4826 5.4826 5.4826
angles: 60.00 60.00 60.00
Last column: nearest neighbours and their distance in Å.
Element x y z (fractional)
Sr (0.2500, 0.2500, 0.2500)  12 O 2.74
Sr (0.7500, 0.7500, 0.7500)  12 O 2.74
Ta (0.0000, 0.0000, 0.0000)  6 O 2.06
Si (0.5000, 0.5000, 0.5000)  6 O 1.82
O (0.2655, 0.2655, 0.7345)  1 Si 1.82
O (0.2655, 0.7345, 0.2655)  1 Si 1.82
O (0.2655, 0.7345, 0.7345)  1 Si 1.82
O (0.7345, 0.2655, 0.2655)  1 Si 1.82
O (0.7345, 0.2655, 0.7345)  1 Si 1.82
O (0.7345, 0.7345, 0.2655)  1 Si 1.82

Formation energy without anion corrections   -2.759 eV per atom
Total magnetization   0.92 μB per formula unit
VASP energy   -7.80 eV per atom
SG   Fm-3m